Record 1
# Ba2YCd12Ag3 (PBE-GGA, relaxed)
# * mass density: 6.070 g cm⁻³
# * E: -29.03 eV per formula unit
# * E_form: 0.05 eV/atom
# * crystal system: trigonal
data_Ba2YCd12Ag3
_cell_length_a 8.5075
_cell_length_b 8.5075
_cell_length_c 26.6594
_cell_angle_alpha 90.00
_cell_angle_beta 90.00
_cell_angle_gamma 120.00
_space_group_name_H-M_alt 'R -3 m'
_space_group_IT_number 166
_space_group_name_Hall '-R 3 2"'
loop_
_atom_site_label
_atom_site_fract_x
_atom_site_fract_y
_atom_site_fract_z
_atom_site_occupancy
Ba1 0.0000 0.0000 0.1099 1
Y1 0.0000 0.0000 0.5000 1
Cd1 0.0910 0.5455 0.2699 1
Cd2 0.0940 0.5470 0.8899 1
Ag1 0.0000 0.5000 0.0000 1

---

Record 2
# SrPbCl2 (PBE-GGA, relaxed)
# * mass density: 5.508 g cm⁻³
# * E: -13.55 eV per formula unit
# * crystal system: tetragonal
# * formation energy from raw total energies: -1.117 eV per atom
data_SrPbCl2
_cell_length_a 5.0246
_cell_length_b 5.0246
_cell_length_c 4.3672
_cell_angle_alpha 90.00
_cell_angle_beta 90.00
_cell_angle_gamma 90.00
_space_group_name_H-M_alt 'P 4/m m m'
_space_group_IT_number 123
_space_group_name_Hall '-P 4 2'
loop_
_atom_site_label
_atom_site_fract_x
_atom_site_fract_y
_atom_site_fract_z
_atom_site_occupancy
Sr1 0.0000 0.0000 0.0000 1
Pb1 0.5000 0.5000 0.0000 1
Cl1 0.0000 0.5000 0.5000 1

---

Record 3
# Ac4Pr3HoS8 (PBE-GGA, relaxed)
# * mass density: 7.045 g cm⁻³
# * E: -100.29 eV per formula unit
# * crystal system: trigonal
# * formation energy from raw total energies: -1.995 eV per atom
data_Ac4Pr3HoS8
_cell_length_a 8.3406
_cell_length_b 8.3406
_cell_length_c 20.5634
_cell_angle_alpha 90.00
_cell_angle_beta 90.00
_cell_angle_gamma 120.00
_space_group_name_H-M_alt 'R -3 m'
_space_group_IT_number 166
_space_group_name_Hall '-R 3 2"'
loop_
_atom_site_label
_atom_site_fract_x
_atom_site_fract_y
_atom_site_fract_z
_atom_site_occupancy
Ac1 0.0000 0.0000 0.0000 1
Ac2 0.0000 0.5000 0.0000 1
Pr1 0.0000 0.5000 0.5000 1
Ho1 0.0000 0.0000 0.5000 1
S1 0.0000 0.0000 0.2460 1
S2 0.0109 0.5054 0.2434 1

---

Record 4
# NdSm3P4 (PBE-GGA, relaxed)
# * mass density: 6.025 g cm⁻³
# * E: -53.07 eV per formula unit
# * E_form: -1.56 eV/atom
# * crystal system: orthorhombic
data_NdSm3P4
_cell_length_a 8.2454
_cell_length_b 11.6568
_cell_length_c 4.1250
_cell_angle_alpha 90.00
_cell_angle_beta 90.00
_cell_angle_gamma 90.00
_space_group_name_H-M_alt 'C m m m'
_space_group_IT_number 65
_space_group_name_Hall '-C 2 2'
loop_
_atom_site_label
_atom_site_fract_x
_atom_site_fract_y
_atom_site_fract_z
_atom_site_occupancy
Nd1 0.0000 0.0000 0.0000 1
Sm1 0.0000 0.5000 0.0000 1
Sm2 0.2500 0.2500 0.5000 1
P1 0.0000 0.2511 0.0000 1
P2 0.2476 0.5000 0.5000 1

---

Record 5
# NiPtSe2 (PBE-GGA, relaxed)
# * mass density: 10.486 g cm⁻³
# * E: -17.64 eV per formula unit
# * crystal system: tetragonal
# * formation energy from raw total energies: 0.288 eV per atom
data_NiPtSe2
_cell_length_a 3.7974
_cell_length_b 3.7974
_cell_length_c 9.0424
_cell_angle_alpha 90.00
_cell_angle_beta 90.00
_cell_angle_gamma 90.00
_space_group_name_H-M_alt 'I -4 m 2'
_space_group_IT_number 119
_space_group_name_Hall 'I -4 -2'
loop_
_atom_site_label
_atom_site_fract_x
_atom_site_fract_y
_atom_site_fract_z
_atom_site_occupancy
Ni1 0.0000 0.0000 0.0000 1
Pt1 0.0000 0.5000 0.7500 1
Se1 0.0000 0.0000 0.5000 1
Se2 0.0000 0.5000 0.2500 1

---

Record 6
# SrTc2Ir (PBE-GGA, relaxed)
# * mass density: 10.544 g cm⁻³
# * E: -28.71 eV per formula unit
# * E_form: 0.64 eV/atom
# * crystal system: orthorhombic
data_SrTc2Ir
_cell_length_a 3.0870
_cell_length_b 5.0741
_cell_length_c 9.5682
_cell_angle_alpha 90.00
_cell_angle_beta 90.00
_cell_angle_gamma 90.00
_space_group_name_H-M_alt 'I m m 2'
_space_group_IT_number 44
_space_group_name_Hall 'I 2 -2'
loop_
_atom_site_label
_atom_site_fract_x
_atom_site_fract_y
_atom_site_fract_z
_atom_site_occupancy
Sr1 0.0000 0.0000 0.0000 1
Tc1 0.0000 0.0000 0.4871 1
Tc2 0.0000 0.5000 0.7908 1
Ir1 0.0000 0.5000 0.2137 1

---

Record 7
# Li5Sm3I12 (PBE-GGA, relaxed)
# * mass density: 4.854 g cm⁻³
# * E: -65.09 eV per formula unit
# * crystal system: cubic
# * formation energy from raw total energies: -1.138 eV per atom
data_Li5Sm3I12
_cell_length_a 17.6484
_cell_length_b 17.6484
_cell_length_c 17.6484
_cell_angle_alpha 90.00
_cell_angle_beta 90.00
_cell_angle_gamma 90.00
_space_group_name_H-M_alt 'I a -3 d'
_space_group_IT_number 230
_space_group_name_Hall '-I 4bd 2c 3'
loop_
_atom_site_label
_atom_site_fract_x
_atom_site_fract_y
_atom_site_fract_z
_atom_site_occupancy
Li1 0.0000 0.0000 0.0000 1
Li2 0.0000 0.2500 0.3750 1
Sm1 0.0000 0.2500 0.1250 1
I1 0.0272 0.0640 0.6529 1

---

Record 8
# Nd8GeSb2 (PBE-GGA, relaxed)
# * mass density: 6.915 g cm⁻³
# * E: -56.75 eV per formula unit
# * crystal system: monoclinic
# * formation energy from raw total energies: -0.523 eV per atom
data_Nd8GeSb2
_cell_length_a 18.9938
_cell_length_b 4.7604
_cell_length_c 7.8361
_cell_angle_alpha 90.00
_cell_angle_beta 94.81
_cell_angle_gamma 90.00
_space_group_name_H-M_alt 'C 1 2/m 1'
_space_group_IT_number 12
_space_group_name_Hall '-C 2y'
loop_
_atom_site_label
_atom_site_fract_x
_atom_site_fract_y
_atom_site_fract_z
_atom_site_occupancy
Nd1 0.0025 0.0000 0.2667 1
Nd2 0.0975 0.5000 0.0180 1
Nd3 0.1585 0.5000 0.5378 1
Nd4 0.2169 0.0000 0.8593 1
Ge1 0.0000 0.5000 0.5000 1
Sb1 0.1770 0.0000 0.2709 1

---

Record 9
# Mn3Ga4Ni9 (PBE-GGA, relaxed)
# * mass density: 8.377 g cm⁻³
# * E: -96.24 eV per formula unit
# * E_form: -0.29 eV/atom
# * crystal system: tetragonal
data_Mn3Ga4Ni9
_cell_length_a 5.3899
_cell_length_b 5.3899
_cell_length_c 6.6320
_cell_angle_alpha 90.00
_cell_angle_beta 90.00
_cell_angle_gamma 90.00
_space_group_name_H-M_alt 'P 4/m m m'
_space_group_IT_number 123
_space_group_name_Hall '-P 4 2'
loop_
_atom_site_label
_atom_site_fract_x
_atom_site_fract_y
_atom_site_fract_z
_atom_site_occupancy
Mn1 0.0000 0.0000 0.0000 1
Mn2 0.0000 0.5000 0.5000 1
Ga1 0.0000 0.0000 0.5000 1
Ga2 0.0000 0.5000 0.0000 1
Ga3 0.5000 0.5000 0.5000 1
Ni1 0.2534 0.2534 0.2486 1
Ni2 0.5000 0.5000 0.0000 1

---

Record 10
# ThNiHg (PBE-GGA, relaxed)
# * mass density: 12.320 g cm⁻³
# * E: -14.27 eV per formula unit
# * E_form: -0.25 eV/atom
# * crystal system: hexagonal
data_ThNiHg
_cell_length_a 4.6221
_cell_length_b 4.6221
_cell_length_c 3.5793
_cell_angle_alpha 90.00
_cell_angle_beta 90.00
_cell_angle_gamma 120.00
_space_group_name_H-M_alt 'P -6 m 2'
_space_group_IT_number 187
_space_group_name_Hall 'P -6 2'
loop_
_atom_site_label
_atom_site_fract_x
_atom_site_fract_y
_atom_site_fract_z
_atom_site_occupancy
Th1 0.0000 0.0000 0.0000 1
Ni1 0.6667 0.3333 0.5000 1
Hg1 0.3333 0.6667 0.5000 1

---

Record 11
# Pm2Dy4Sc3 (PBE-GGA, relaxed)
# * mass density: 6.698 g cm⁻³
# * E: -45.92 eV per formula unit
# * E_form: 0.11 eV/atom
# * crystal system: monoclinic
data_Pm2Dy4Sc3
_cell_length_a 15.5863
_cell_length_b 11.3651
_cell_length_c 6.0442
_cell_angle_alpha 90.00
_cell_angle_beta 95.45
_cell_angle_gamma 90.00
_space_group_name_H-M_alt 'C 1 2/c 1'
_space_group_IT_number 15
_space_group_name_Hall '-C 2yc'
loop_
_atom_site_label
_atom_site_fract_x
_atom_site_fract_y
_atom_site_fract_z
_atom_site_occupancy
Pm1 0.1173 0.1443 0.3230 1
Dy1 0.0499 0.3612 0.0100 1
Dy2 0.2163 0.1386 0.8440 1
Sc1 0.0000 0.1026 0.7500 1
Sc2 0.1662 0.3995 0.5862 1

---

Record 12
# Ho3Sc4Rh4 (PBE-GGA, relaxed)
# * mass density: 7.682 g cm⁻³
# * E: -76.31 eV per formula unit
# * E_form: -0.71 eV/atom
# * crystal system: orthorhombic
data_Ho3Sc4Rh4
_cell_length_a 3.7313
_cell_length_b 8.4484
_cell_length_c 14.8963
_cell_angle_alpha 90.00
_cell_angle_beta 90.00
_cell_angle_gamma 90.00
_space_group_name_H-M_alt 'I m m m'
_space_group_IT_number 71
_space_group_name_Hall '-I 2 2'
loop_
_atom_site_label
_atom_site_fract_x
_atom_site_fract_y
_atom_site_fract_z
_atom_site_occupancy
Ho1 0.0000 0.0000 0.0000 1
Ho2 0.0000 0.5000 0.1080 1
Sc1 0.0000 0.3114 0.3328 1
Rh1 0.0000 0.0000 0.2377 1
Rh2 0.0000 0.2076 0.5000 1